Run P
DFT (PBE with a Hubbard U) results for VFeIO2 after structural relaxation.

extended XYZ file:
```
5
Lattice="-0.079 3.940 0.268 -2.643 0.146 -2.933 -4.252 -0.345 3.814" Properties=species:S:1:pos:R:3 pbc="T T T"
I -2.126 -0.172 1.907
Fe 0.000 0.000 0.000
O -1.321 0.073 -1.466
O -0.040 1.970 0.134
V -3.487 1.871 0.574
```

Values from the calculation:
- density (g cm⁻³) = 4.94
- magnetic moment (μB per cell) = 8.47


Run Q
DFT (PBE with a Hubbard U) results for VFeIO2 after structural relaxation.

extended XYZ file:
```
5
Lattice="-3.669 0.515 -1.137 0.218 -3.213 -2.157 -1.801 -3.085 4.413" Properties=species:S:1:pos:R:3 pbc="T T T"
I -0.900 -1.543 2.207
Fe -2.626 -2.892 0.559
O 0.109 -1.606 -1.079
O -1.835 0.257 -0.569
V 0.000 0.000 0.000
```

Values from the calculation:
- density (g cm⁻³) = 5.17
- magnetic moment (μB per cell) = 4.22


Most stable: run Q


Run P
DFT (PBE with a Hubbard U) results for FeWI2O after structural relaxation.

extended XYZ file:
```
5
Lattice="-1.478 3.840 -4.405 0.897 -4.340 -4.085 -3.734 -1.072 0.319" Properties=species:S:1:pos:R:3 pbc="T T T"
I 0.449 -2.170 -2.043
I -0.739 1.920 -2.202
O -1.867 -0.536 0.159
Fe -2.157 -0.786 -4.086
W 0.000 0.000 0.000
```

Values from the calculation:
- density (g cm⁻³) = 5.97
- magnetic moment (μB per cell) = 7.47


Run Q
DFT (PBE with a Hubbard U) results for FeWI2O after structural relaxation.

extended XYZ file:
```
5
Lattice="-3.692 1.156 4.143 2.720 -3.602 3.429 2.181 2.763 1.172" Properties=species:S:1:pos:R:3 pbc="T T T"
I 1.360 -1.801 1.714
I -1.846 0.578 2.072
O 1.090 1.381 0.586
Fe 0.000 0.000 0.000
W 0.604 0.158 4.372
```

Values from the calculation:
- density (g cm⁻³) = 7.10
- magnetic moment (μB per cell) = 7.95


Most stable: run P


Run P
DFT (PBE with a Hubbard U) results for YFeIO2 after structural relaxation.

extended XYZ file:
```
5
Lattice="-2.632 -3.086 1.556 2.121 0.102 3.790 -3.925 4.395 2.077" Properties=species:S:1:pos:R:3 pbc="T T T"
I -1.962 2.197 1.039
Y 0.000 0.000 0.000
Fe -2.218 0.706 3.712
O 1.060 0.051 1.895
O -1.316 -1.543 0.778
```

Values from the calculation:
- density (g cm⁻³) = 4.28
- magnetic moment (μB per cell) = 4.88


Run Q
DFT (PBE with a Hubbard U) results for YFeIO2 after structural relaxation.

extended XYZ file:
```
5
Lattice="4.165 0.000 0.000 0.000 4.165 0.000 0.000 0.000 5.192" Properties=species:S:1:pos:R:3 pbc="T T T"
I 0.000 0.000 2.596
Y 2.083 2.083 2.596
Fe 0.000 0.000 0.000
O 0.000 2.083 0.000
O 2.083 0.000 0.000
```

Values from the calculation:
- density (g cm⁻³) = 5.60
- magnetic moment (μB per cell) = 4.33


Most stable: run P


Run P
DFT (PBE with a Hubbard U) results for ZnFeI2O after structural relaxation.

extended XYZ file:
```
5
Lattice="5.732 0.000 0.000 0.000 5.732 0.000 0.000 0.000 3.735" Properties=species:S:1:pos:R:3 pbc="T T T"
I 0.000 2.866 0.000
I 2.866 0.000 0.000
Zn 0.000 0.000 0.000
Fe 2.866 2.866 1.867
O 0.000 0.000 1.867
```

Values from the calculation:
- density (g cm⁻³) = 5.29
- magnetic moment (μB per cell) = 4.54


Run Q
DFT (PBE with a Hubbard U) results for ZnFeI2O after structural relaxation.

extended XYZ file:
```
5
Lattice="-1.425 -2.120 -4.929 5.279 0.359 -1.681 0.641 -3.414 1.283" Properties=species:S:1:pos:R:3 pbc="T T T"
I 2.640 0.180 -0.841
I -0.713 -1.060 -2.465
Zn 2.247 -2.587 -2.664
Fe 0.000 0.000 0.000
O 0.321 -1.707 0.642
```

Values from the calculation:
- density (g cm⁻³) = 5.69
- magnetic moment (μB per cell) = 1.77


Most stable: run P


Run P
DFT (PBE with a Hubbard U) results for ZrFeIO2 after structural relaxation.

extended XYZ file:
```
5
Lattice="4.044 0.000 0.000 0.000 4.044 0.000 0.000 0.000 5.261" Properties=species:S:1:pos:R:3 pbc="T T T"
I 0.000 0.000 2.630
O 0.000 2.022 0.000
O 2.022 0.000 0.000
Fe 0.000 0.000 0.000
Zr 2.022 2.022 2.630
```

Values from the calculation:
- density (g cm⁻³) = 5.91
- magnetic moment (μB per cell) = 3.38


Run Q
DFT (PBE with a Hubbard U) results for ZrFeIO2 after structural relaxation.

extended XYZ file:
```
5
Lattice="4.088 0.000 0.000 0.000 4.088 0.000 0.000 0.000 6.265" Properties=species:S:1:pos:R:3 pbc="T T T"
I 0.000 0.000 3.132
O 0.000 2.044 0.000
O 2.044 0.000 0.000
Fe 2.044 2.044 3.132
Zr 0.000 0.000 0.000
```

Values from the calculation:
- density (g cm⁻³) = 4.85
- magnetic moment (μB per cell) = 3.01


Most stable: run Q